1.
{
  "formula": "Ce2PuTc2C4",
  "functional": "PBE",
  "state": "relaxed",
  "e_tot_ev_per_atom": -9.354,
  "sg": "No. 12",
  "cell": [[6.912, -1.712, 0.000], [6.912, 1.712, 0.000], [-1.992, 0.000, 5.589]],
  "species": ["Ce", "Ce", "Pu", "Tc", "Tc", "C", "C", "C", "C"],
  "frac_coords": [[0.128, 0.128, 0.012], [0.872, 0.872, 0.988], [0.000, 0.000, 0.500], [0.321, 0.321, 0.495], [0.679, 0.679, 0.505], [0.231, 0.231, 0.722], [0.461, 0.461, 0.750], [0.539, 0.539, 0.250], [0.769, 0.769, 0.278]]
}

2.
{
  "formula": "CePu2TcC4",
  "functional": "PBE",
  "state": "relaxed",
  "e_tot_ev_per_atom": -10.165,
  "sg": "No. 63",
  "cell": [[1.743, -5.877, 0.000], [1.743, 5.877, 0.000], [0.000, 0.000, 12.190]],
  "species": ["Ce", "Ce", "Pu", "Pu", "Pu", "Pu", "Tc", "Tc", "C", "C", "C", "C", "C", "C", "C", "C"],
  "frac_coords": [[0.101, 0.899, 0.750], [0.899, 0.101, 0.250], [0.369, 0.631, 0.540], [0.369, 0.631, 0.960], [0.631, 0.369, 0.040], [0.631, 0.369, 0.460], [0.159, 0.841, 0.250], [0.841, 0.159, 0.750], [0.000, 0.000, 0.000], [0.000, 0.000, 0.500], [0.260, 0.740, 0.126], [0.260, 0.740, 0.374], [0.435, 0.565, 0.750], [0.565, 0.435, 0.250], [0.740, 0.260, 0.626], [0.740, 0.260, 0.874]]
}

3.
{
  "formula": "Ce2PuUC4",
  "functional": "PBE",
  "state": "relaxed",
  "e_tot_ev_per_atom": -9.368,
  "sg": "No. 10",
  "cell": [[6.210, 0.000, 0.000], [0.000, 3.595, 0.000], [-2.180, 0.000, 5.850]],
  "species": ["Ce", "Ce", "Pu", "U", "C", "C", "C", "C"],
  "frac_coords": [[0.000, 0.000, 0.000], [0.000, 0.500, 0.500], [0.500, 0.000, 0.500], [0.500, 0.500, 0.000], [0.282, 0.500, 0.251], [0.283, 0.000, 0.779], [0.717, 0.000, 0.221], [0.718, 0.500, 0.749]]
}